The following is a DFT calculation (PBE) of crystalline UTl2Ag2Se6 at its relaxed geometry.

## Properties
Fermi-level density of states: 7.21 states/eV per cell
crystal system: trigonal
formation energy without anion corrections: -0.437 eV per atom
magnetic moment: 0.0 Bohr magnetons per cell

Cell lengths 6.6879, 6.6879, 7.9277 Å; angles 90.00, 90.00, 120.00 degrees
Closest atoms and distances in Å follow each position.
Element x y z (fractional)
U: 0.0000 0.0000 0.0000  6 Se 2.71
Tl: 0.3333 0.6667 0.5006  6 Se 3.24
Tl: 0.6667 0.3333 0.4994  6 Se 3.24
Ag: 0.3333 0.6667 0.9997  6 Se 2.81
Ag: 0.6667 0.3333 0.0003  6 Se 2.81
Se: 0.9997 0.3203 0.7912  1 U 2.71, 2 Ag 2.81
Se: 0.0003 0.6797 0.2088  1 U 2.71, 2 Ag 2.81
Se: 0.3203 0.3207 0.2088  1 U 2.71, 2 Ag 2.81
Se: 0.3207 0.0003 0.7912  1 U 2.71, 2 Ag 2.81
Se: 0.6793 0.9997 0.2088  1 U 2.71, 2 Ag 2.81
Se: 0.6797 0.6793 0.7912  1 U 2.71, 2 Ag 2.81

---

The following is a DFT calculation (PBE) of crystalline Sr2PuAgSe4 at its relaxed geometry.

## Properties
Fermi-level density of states: 14.30 states/eV per cell
crystal system: monoclinic
formation energy without anion corrections: -1.421 eV per atom
magnetic moment: 5.0 Bohr magnetons per cell

Cell lengths 7.4159, 4.3349, 7.4453 Å; angles 90.00, 110.30, 90.00 degrees
Closest atoms and distances in Å follow each position.
Element x y z (fractional)
Sr: 0.0000 0.0000 0.0000  6 Se 3.12-3.16
Sr: 0.0000 0.5000 0.5000  6 Se 3.06-3.11
Pu: 0.5000 0.0000 0.5000  6 Se 2.94-2.95
Ag: 0.5000 0.5000 0.0000  6 Se 2.96-3.05
Se: 0.2653 0.5000 0.2643  2 Pu 2.95, 1 Ag 3.05, 3 Sr 3.06-3.12
Se: 0.2713 0.0000 0.7534  1 Pu 2.94, 2 Ag 2.96, 3 Sr 3.11-3.16
Se: 0.7287 0.0000 0.2466  1 Pu 2.94, 2 Ag 2.96, 3 Sr 3.11-3.16
Se: 0.7347 0.5000 0.7357  2 Pu 2.95, 1 Ag 3.05, 3 Sr 3.06-3.12

---

The following is a DFT calculation (PBE) of crystalline BaReTc4 at its relaxed geometry.

## Properties
Fermi-level density of states: 8.48 states/eV per cell
crystal system: cubic
DFT formation energy: 0.988 eV per atom
magnetic moment: 0.0 Bohr magnetons per cell

Cell lengths 5.3440, 5.3440, 5.3440 Å; angles 60.00, 60.00, 60.00 degrees
Closest atoms and distances in Å follow each position.
Element x y z (fractional)
Ba: 0.0000 0.0000 0.0000  12 Tc 3.13, 4 Re 3.27
Re: 0.7500 0.7500 0.7500  12 Tc 3.13, 4 Ba 3.27
Tc: 0.3757 0.3757 0.3757  6 Tc 2.66-2.69
Tc: 0.3757 0.3757 0.8728  6 Tc 2.66-2.69
Tc: 0.3757 0.8728 0.3757  6 Tc 2.66-2.69
Tc: 0.8728 0.3757 0.3757  6 Tc 2.66-2.69

---

The following is a DFT calculation (PBE) of crystalline KVSe2 at its relaxed geometry.

## Properties
Fermi-level density of states: 7.39 states/eV per cell
crystal system: orthorhombic
formation energy without anion corrections: -0.828 eV per atom
magnetic moment: 8.0 Bohr magnetons per cell

Cell lengths 6.8247, 10.6568, 6.7281 Å; angles 90.00, 90.00, 90.00 degrees
Closest atoms and distances in Å follow each position.
Element x y z (fractional)
K: 0.0213 0.1251 0.0000  6 Se 3.27-3.66
K: 0.4787 0.6251 0.5000  6 Se 3.27-3.66
K: 0.5213 0.3749 0.0000  6 Se 3.27-3.66
K: 0.9787 0.8749 0.5000  6 Se 3.27-3.66
V: 0.0510 0.3745 0.5564  4 Se 2.41-2.43
V: 0.4490 0.8745 0.0564  4 Se 2.41-2.43
V: 0.5510 0.1255 0.5564  4 Se 2.41-2.43
V: 0.9490 0.6255 0.0564  4 Se 2.41-2.43
Se: 0.0337 0.4262 0.9054  2 V 2.41-2.42
Se: 0.1126 0.8219 0.9798  2 V 2.42-2.43
Se: 0.3874 0.3219 0.4798  2 V 2.42-2.43
Se: 0.4663 0.9262 0.4054  2 V 2.41-2.42
Se: 0.5337 0.0738 0.9054  2 V 2.41-2.42
Se: 0.6126 0.6781 0.9798  2 V 2.42-2.43
Se: 0.8874 0.1781 0.4798  2 V 2.42-2.43
Se: 0.9663 0.5738 0.4054  2 V 2.41-2.42